# Ta2CoSn2Ir, relaxed, DFT PBE-GGA
data_Ta2CoSn2Ir
_chemical_formula_sum 'Ta8 Co4 Sn8 Ir4'
_space_group_name_H-M_alt 'P 1 m 1'
_space_group_IT_number 6
_cell_length_a 7.481
_cell_length_b 4.309
_cell_length_c 14.306
_cell_angle_alpha 90.00
_cell_angle_beta 99.83
_cell_angle_gamma 90.00
loop_
_space_group_symop_operation_xyz
'x,y,z'
'x,-y,z'
loop_
_atom_site_label
_atom_site_type_symbol
_atom_site_fract_x
_atom_site_fract_y
_atom_site_fract_z
Ta1 Ta 0.000 0.000 0.000
Ta2 Ta 0.001 0.500 0.493
Ta3 Ta 0.247 0.000 0.741
Ta4 Ta 0.250 0.500 0.241
Ta5 Ta 0.491 0.000 0.490
Ta6 Ta 0.498 0.500 0.000
Ta7 Ta 0.740 0.000 0.241
Ta8 Ta 0.746 0.500 0.743
Co1 Co 0.186 0.000 0.554
Co2 Co 0.187 0.500 0.060
Co3 Co 0.433 0.000 0.303
Co4 Co 0.684 0.000 0.060
Sn1 Sn 0.126 0.500 0.878
Sn2 Sn 0.132 0.000 0.370
Sn3 Sn 0.361 0.500 0.615
Sn4 Sn 0.371 0.000 0.119
Sn5 Sn 0.609 0.500 0.363
Sn6 Sn 0.625 0.000 0.879
Sn7 Sn 0.870 0.500 0.114
Sn8 Sn 0.882 0.000 0.616
Ir1 Ir 0.435 0.500 0.807
Ir2 Ir 0.683 0.500 0.554
Ir3 Ir 0.933 0.500 0.304
Ir4 Ir 0.936 0.000 0.808
# calculated total energy	-199.937	eV/cell
# V	18.93	Å³ per atom

=====

# TbTm2CoSn3Ir2, relaxed, DFT PBE-GGA
data_TbTm2CoSn3Ir2
_chemical_formula_sum 'Tb2 Tm4 Co2 Sn6 Ir4'
_space_group_name_H-M_alt 'A m m 2'
_space_group_IT_number 38
_cell_length_a 3.737
_cell_length_b 13.090
_cell_length_c 7.516
_cell_angle_alpha 90.00
_cell_angle_beta 90.00
_cell_angle_gamma 90.00
loop_
_space_group_symop_operation_xyz
'x,y,z'
'-x,-y,z'
'-x,y,z'
'x,-y,z'
'x,y+1/2,z+1/2'
'-x,-y+1/2,z+1/2'
'-x,y+1/2,z+1/2'
'x,-y+1/2,z+1/2'
loop_
_atom_site_label
_atom_site_type_symbol
_atom_site_fract_x
_atom_site_fract_y
_atom_site_fract_z
Tb1 Tb 0.000 0.000 0.000
Tm1 Tm 0.000 0.203 0.608
Co1 Co 0.000 0.000 0.407
Sn1 Sn 0.500 0.000 0.659
Sn2 Sn 0.500 0.127 0.280
Ir1 Ir 0.500 0.169 0.905
# calculated total energy	-114.321	eV/cell
# V	20.42	Å³ per atom

=====

# CoTcSnIr, relaxed, DFT PBE-GGA
data_CoTcSnIr
_chemical_formula_sum 'Co4 Tc4 Sn4 Ir4'
_space_group_name_H-M_alt 'F -4 3 m'
_space_group_IT_number 216
_space_group_name_Hall 'F -4 2 3'
_cell_length_a 6.225
_cell_length_b 6.225
_cell_length_c 6.225
_cell_angle_alpha 90.00
_cell_angle_beta 90.00
_cell_angle_gamma 90.00
loop_
_atom_site_label
_atom_site_type_symbol
_atom_site_fract_x
_atom_site_fract_y
_atom_site_fract_z
Co1 Co 0.000 0.000 0.000
Tc1 Tc 0.000 0.000 0.500
Sn1 Sn 0.250 0.250 0.750
Ir1 Ir 0.250 0.250 0.250
# distance to the lowest polymorph of the same formula	0.0	meV/atom
# V	15.07	Å³ per atom

=====

# Tm3Co2Sn3Ir, relaxed, DFT PBE-GGA
data_Tm3Co2Sn3Ir
_chemical_formula_sum 'Tm3 Co2 Sn3 Ir1'
_space_group_name_H-M_alt 'P -6 2 m'
_space_group_IT_number 189
_space_group_name_Hall 'P -6 -2'
_cell_length_a 7.3386
_cell_length_b 7.3386
_cell_length_c 3.8555
_cell_angle_alpha 90.00
_cell_angle_beta 90.00
_cell_angle_gamma 120.00
loop_
_atom_site_label
_atom_site_type_symbol
_atom_site_fract_x
_atom_site_fract_y
_atom_site_fract_z
Tm1 Tm 0.0000 0.5970 0.0000
Co1 Co 0.3333 0.6667 0.5000
Sn1 Sn 0.0000 0.2709 0.5000
Ir1 Ir 0.0000 0.0000 0.0000
# calculated total energy	-53.716	eV/cell
# V	19.98	Å³ per atom

=====

# CoSnIrW, relaxed, DFT PBE-GGA
data_CoSnIrW
_chemical_formula_sum 'Co4 Sn4 Ir4 W4'
_space_group_name_H-M_alt 'F -4 3 m'
_space_group_IT_number 216
_space_group_name_Hall 'F -4 2 3'
_cell_length_a 6.260
_cell_length_b 6.260
_cell_length_c 6.260
_cell_angle_alpha 90.00
_cell_angle_beta 90.00
_cell_angle_gamma 90.00
loop_
_atom_site_label
_atom_site_type_symbol
_atom_site_fract_x
_atom_site_fract_y
_atom_site_fract_z
Co1 Co 0.000 0.000 0.000
Sn1 Sn 0.250 0.250 0.750
Ir1 Ir 0.250 0.250 0.250
W1 W 0.000 0.000 0.500
# distance to the lowest polymorph of the same formula	37.6	meV/atom
# V	15.34	Å³ per atom

=====

# CoSnIrW, relaxed, DFT PBE-GGA
data_CoSnIrW
_chemical_formula_sum 'Co4 Sn4 Ir4 W4'
_space_group_name_H-M_alt 'F -4 3 m'
_space_group_IT_number 216
_space_group_name_Hall 'F -4 2 3'
_cell_length_a 6.288
_cell_length_b 6.288
_cell_length_c 6.288
_cell_angle_alpha 90.00
_cell_angle_beta 90.00
_cell_angle_gamma 90.00
loop_
_atom_site_label
_atom_site_type_symbol
_atom_site_fract_x
_atom_site_fract_y
_atom_site_fract_z
Co1 Co 0.000 0.000 0.000
Sn1 Sn 0.250 0.250 0.750
Ir1 Ir 0.000 0.000 0.500
W1 W 0.250 0.250 0.250
# distance to the lowest polymorph of the same formula	0.0	meV/atom
# V	15.54	Å³ per atom

=====

# YCoSnIr, relaxed, DFT PBE-GGA
data_YCoSnIr
_chemical_formula_sum 'Y4 Co4 Sn4 Ir4'
_space_group_name_H-M_alt 'F -4 3 m'
_space_group_IT_number 216
_space_group_name_Hall 'F -4 2 3'
_cell_length_a 6.588
_cell_length_b 6.588
_cell_length_c 6.588
_cell_angle_alpha 90.00
_cell_angle_beta 90.00
_cell_angle_gamma 90.00
loop_
_atom_site_label
_atom_site_type_symbol
_atom_site_fract_x
_atom_site_fract_y
_atom_site_fract_z
Y1 Y 0.000 0.000 0.000
Co1 Co 0.250 0.250 0.750
Sn1 Sn 0.000 0.000 0.500
Ir1 Ir 0.250 0.250 0.250
# distance to the lowest polymorph of the same formula	0.0	meV/atom
# V	17.87	Å³ per atom

=====

# YCoSnIr, relaxed, DFT PBE-GGA
data_YCoSnIr
_chemical_formula_sum 'Y4 Co4 Sn4 Ir4'
_space_group_name_H-M_alt 'F -4 3 m'
_space_group_IT_number 216
_space_group_name_Hall 'F -4 2 3'
_cell_length_a 6.655
_cell_length_b 6.655
_cell_length_c 6.655
_cell_angle_alpha 90.00
_cell_angle_beta 90.00
_cell_angle_gamma 90.00
loop_
_atom_site_label
_atom_site_type_symbol
_atom_site_fract_x
_atom_site_fract_y
_atom_site_fract_z
Y1 Y 0.000 0.000 0.000
Co1 Co 0.000 0.000 0.500
Sn1 Sn 0.250 0.250 0.250
Ir1 Ir 0.250 0.250 0.750
# distance to the lowest polymorph of the same formula	436.2	meV/atom
# V	18.42	Å³ per atom

=====

# ZrCoSnIr, relaxed, DFT PBE-GGA
data_ZrCoSnIr
_chemical_formula_sum 'Zr4 Co4 Sn4 Ir4'
_space_group_name_H-M_alt 'F -4 3 m'
_space_group_IT_number 216
_space_group_name_Hall 'F -4 2 3'
_cell_length_a 6.462
_cell_length_b 6.462
_cell_length_c 6.462
_cell_angle_alpha 90.00
_cell_angle_beta 90.00
_cell_angle_gamma 90.00
loop_
_atom_site_label
_atom_site_type_symbol
_atom_site_fract_x
_atom_site_fract_y
_atom_site_fract_z
Zr1 Zr 0.000 0.000 0.000
Co1 Co 0.250 0.250 0.750
Sn1 Sn 0.000 0.000 0.500
Ir1 Ir 0.250 0.250 0.250
# distance to the lowest polymorph of the same formula	0.0	meV/atom
# V	16.86	Å³ per atom

=====

# ZrCoSnIr, relaxed, DFT PBE-GGA
data_ZrCoSnIr
_chemical_formula_sum 'Zr4 Co4 Sn4 Ir4'
_space_group_name_H-M_alt 'F -4 3 m'
_space_group_IT_number 216
_space_group_name_Hall 'F -4 2 3'
_cell_length_a 6.514
_cell_length_b 6.514
_cell_length_c 6.514
_cell_angle_alpha 90.00
_cell_angle_beta 90.00
_cell_angle_gamma 90.00
loop_
_atom_site_label
_atom_site_type_symbol
_atom_site_fract_x
_atom_site_fract_y
_atom_site_fract_z
Zr1 Zr 0.000 0.000 0.000
Co1 Co 0.000 0.000 0.500
Sn1 Sn 0.250 0.250 0.250
Ir1 Ir 0.250 0.250 0.750
# distance to the lowest polymorph of the same formula	454.1	meV/atom
# V	17.27	Å³ per atom

=====

# SrCoIr, relaxed, DFT PBE-GGA
data_SrCoIr
_chemical_formula_sum 'Sr4 Co4 Ir4'
_space_group_name_H-M_alt 'F -4 3 m'
_space_group_IT_number 216
_space_group_name_Hall 'F -4 2 3'
_cell_length_a 6.313
_cell_length_b 6.313
_cell_length_c 6.313
_cell_angle_alpha 90.00
_cell_angle_beta 90.00
_cell_angle_gamma 90.00
loop_
_atom_site_label
_atom_site_type_symbol
_atom_site_fract_x
_atom_site_fract_y
_atom_site_fract_z
Sr1 Sr 0.000 0.000 0.000
Co1 Co 0.250 0.250 0.750
Ir1 Ir 0.000 0.000 0.500
# distance to the lowest polymorph of the same formula	0.0	meV/atom
# V	20.96	Å³ per atom

=====

# TaCoIr2, relaxed, DFT PBE-GGA
data_TaCoIr2
_chemical_formula_sum 'Ta4 Co4 Ir8'
_space_group_name_H-M_alt 'F -4 3 m'
_space_group_IT_number 216
_space_group_name_Hall 'F -4 2 3'
_cell_length_a 6.162
_cell_length_b 6.162
_cell_length_c 6.162
_cell_angle_alpha 90.00
_cell_angle_beta 90.00
_cell_angle_gamma 90.00
loop_
_atom_site_label
_atom_site_type_symbol
_atom_site_fract_x
_atom_site_fract_y
_atom_site_fract_z
Ta1 Ta 0.000 0.000 0.000
Co1 Co 0.250 0.250 0.250
Ir1 Ir 0.000 0.000 0.500
Ir2 Ir 0.250 0.250 0.750
# V	14.62	Å³ per atom
# formation enthalpy at 0 K	-15	meV/atom

=====

# Ta2CoIr5, relaxed, DFT PBE-GGA
data_Ta2CoIr5
_chemical_formula_sum 'Ta4 Co2 Ir10'
_space_group_name_H-M_alt 'A m m 2'
_space_group_IT_number 38
_cell_length_a 4.438
_cell_length_b 5.537
_cell_length_c 9.568
_cell_angle_alpha 90.00
_cell_angle_beta 90.00
_cell_angle_gamma 90.00
loop_
_space_group_symop_operation_xyz
'x,y,z'
'-x,-y,z'
'-x,y,z'
'x,-y,z'
'x,y+1/2,z+1/2'
'-x,-y+1/2,z+1/2'
'-x,y+1/2,z+1/2'
'x,-y+1/2,z+1/2'
loop_
_atom_site_label
_atom_site_type_symbol
_atom_site_fract_x
_atom_site_fract_y
_atom_site_fract_z
Ta1 Ta 0.000 0.000 0.000
Ta2 Ta 0.500 0.000 0.336
Co1 Co 0.500 0.000 0.832
Ir1 Ir 0.000 0.000 0.506
Ir2 Ir 0.000 0.241 0.754
Ir3 Ir 0.500 0.247 0.588
# V	14.69	Å³ per atom
# formation enthalpy at 0 K	-596	meV/atom

=====

# TbCo3Ir, relaxed, DFT PBE-GGA
data_TbCo3Ir
_chemical_formula_sum 'Tb4 Co12 Ir4'
_space_group_name_H-M_alt 'I m m a'
_space_group_IT_number 74
_space_group_name_Hall '-I 2b 2'
_cell_length_a 4.404
_cell_length_b 10.932
_cell_length_c 7.247
_cell_angle_alpha 90.00
_cell_angle_beta 90.00
_cell_angle_gamma 90.00
loop_
_atom_site_label
_atom_site_type_symbol
_atom_site_fract_x
_atom_site_fract_y
_atom_site_fract_z
Tb1 Tb 0.000 0.000 0.000
Co1 Co 0.000 0.250 0.154
Co2 Co 0.250 0.148 0.750
Ir1 Ir 0.000 0.250 0.484
# V	17.44	Å³ per atom
# formation enthalpy at 0 K	355	meV/atom

=====

# CoTc2Ir, relaxed, DFT PBE-GGA
data_CoTc2Ir
_chemical_formula_sum 'Co1 Tc2 Ir1'
_space_group_name_H-M_alt 'P m m 2'
_space_group_IT_number 25
_cell_length_a 2.688
_cell_length_b 4.263
_cell_length_c 4.708
_cell_angle_alpha 90.00
_cell_angle_beta 90.00
_cell_angle_gamma 90.00
loop_
_space_group_symop_operation_xyz
'x,y,z'
'-x,-y,z'
'-x,y,z'
'x,-y,z'
loop_
_atom_site_label
_atom_site_type_symbol
_atom_site_fract_x
_atom_site_fract_y
_atom_site_fract_z
Co1 Co 0.000 0.000 0.000
Tc1 Tc 0.500 0.000 0.512
Tc2 Tc 0.500 0.500 0.843
Ir1 Ir 0.000 0.500 0.325
# distance to the lowest polymorph of the same formula	0.0	meV/atom
# V	13.49	Å³ per atom
# formation enthalpy at 0 K	-149	meV/atom

=====

# CoTcIr, relaxed, DFT PBE-GGA
data_CoTcIr
_chemical_formula_sum 'Co4 Tc4 Ir4'
_space_group_name_H-M_alt 'F -4 3 m'
_space_group_IT_number 216
_space_group_name_Hall 'F -4 2 3'
_cell_length_a 5.749
_cell_length_b 5.749
_cell_length_c 5.749
_cell_angle_alpha 90.00
_cell_angle_beta 90.00
_cell_angle_gamma 90.00
loop_
_atom_site_label
_atom_site_type_symbol
_atom_site_fract_x
_atom_site_fract_y
_atom_site_fract_z
Co1 Co 0.000 0.000 0.000
Tc1 Tc 0.250 0.250 0.250
Ir1 Ir 0.000 0.000 0.500
# distance to the lowest polymorph of the same formula	0.0	meV/atom
# V	15.84	Å³ per atom
# formation enthalpy at 0 K	503	meV/atom

=====

# CoTeIr2, relaxed, DFT PBE-GGA
data_CoTeIr2
_chemical_formula_sum 'Co4 Te4 Ir8'
_space_group_name_H-M_alt 'F -4 3 m'
_space_group_IT_number 216
_space_group_name_Hall 'F -4 2 3'
_cell_length_a 6.310
_cell_length_b 6.310
_cell_length_c 6.310
_cell_angle_alpha 90.00
_cell_angle_beta 90.00
_cell_angle_gamma 90.00
loop_
_atom_site_label
_atom_site_type_symbol
_atom_site_fract_x
_atom_site_fract_y
_atom_site_fract_z
Co1 Co 0.000 0.000 0.000
Te1 Te 0.250 0.250 0.750
Ir1 Ir 0.000 0.000 0.500
Ir2 Ir 0.250 0.250 0.250
# calculated total energy	-103.130	eV/cell
# V	15.70	Å³ per atom

=====

# ThCoIr, relaxed, DFT PBE-GGA
data_ThCoIr
_chemical_formula_sum 'Th4 Co4 Ir4'
_space_group_name_H-M_alt 'F -4 3 m'
_space_group_IT_number 216
_space_group_name_Hall 'F -4 2 3'
_cell_length_a 6.400
_cell_length_b 6.400
_cell_length_c 6.400
_cell_angle_alpha 90.00
_cell_angle_beta 90.00
_cell_angle_gamma 90.00
loop_
_atom_site_label
_atom_site_type_symbol
_atom_site_fract_x
_atom_site_fract_y
_atom_site_fract_z
Th1 Th 0.000 0.000 0.000
Co1 Co 0.000 0.000 0.500
Ir1 Ir 0.250 0.250 0.750
# V	21.85	Å³ per atom
# formation enthalpy at 0 K	-28	meV/atom

=====

# TlCoIrW, relaxed, DFT PBE-GGA
data_TlCoIrW
_chemical_formula_sum 'Tl4 Co4 Ir4 W4'
_space_group_name_H-M_alt 'F -4 3 m'
_space_group_IT_number 216
_space_group_name_Hall 'F -4 2 3'
_cell_length_a 6.336
_cell_length_b 6.336
_cell_length_c 6.336
_cell_angle_alpha 90.00
_cell_angle_beta 90.00
_cell_angle_gamma 90.00
loop_
_atom_site_label
_atom_site_type_symbol
_atom_site_fract_x
_atom_site_fract_y
_atom_site_fract_z
Tl1 Tl 0.000 0.000 0.000
Co1 Co 0.250 0.250 0.250
Ir1 Ir 0.250 0.250 0.750
W1 W 0.000 0.000 0.500
# distance to the lowest polymorph of the same formula	0.0	meV/atom
# V	15.90	Å³ per atom

=====

# TlCoIrW, relaxed, DFT PBE-GGA
data_TlCoIrW
_chemical_formula_sum 'Tl4 Co4 Ir4 W4'
_space_group_name_H-M_alt 'F -4 3 m'
_space_group_IT_number 216
_space_group_name_Hall 'F -4 2 3'
_cell_length_a 6.326
_cell_length_b 6.326
_cell_length_c 6.326
_cell_angle_alpha 90.00
_cell_angle_beta 90.00
_cell_angle_gamma 90.00
loop_
_atom_site_label
_atom_site_type_symbol
_atom_site_fract_x
_atom_site_fract_y
_atom_site_fract_z
Tl1 Tl 0.000 0.000 0.000
Co1 Co 0.250 0.250 0.250
Ir1 Ir 0.000 0.000 0.500
W1 W 0.250 0.250 0.750
# distance to the lowest polymorph of the same formula	132.3	meV/atom
# V	15.83	Å³ per atom